Record 1
Entry from Alexandria via LeMat-Bulk: an optimized crystal structure of Nd2BeO4 (GGA-PBE).

Cell and atoms, written as CIF:
```
data_Nd2BeO4
_space_group_name_H-M_alt 'P 1'
_space_group_IT_number 1
_cell_length_a 5.209
_cell_length_b 5.343
_cell_length_c 6.766
_cell_angle_alpha 90.00
_cell_angle_beta 108.92
_cell_angle_gamma 90.00
loop_
_space_group_symop_operation_xyz
'x,y,z'
loop_
_atom_site_label
_atom_site_type_symbol
_atom_site_fract_x
_atom_site_fract_y
_atom_site_fract_z
O1 O 0.066 0.750 0.353
O2 O 0.111 0.750 0.945
O3 O 0.525 0.013 0.736
O4 O 0.889 0.250 0.055
O5 O 0.934 0.250 0.647
O6 O 0.475 0.987 0.264
O7 O 0.475 0.513 0.264
O8 O 0.525 0.487 0.736
Be1 Be 0.271 0.750 0.208
Be2 Be 0.729 0.250 0.792
Nd1 Nd 0.293 0.250 0.961
Nd2 Nd 0.220 0.250 0.430
Nd3 Nd 0.780 0.750 0.570
Nd4 Nd 0.707 0.750 0.039
```

Values from the calculation:
For the energy relative to the elements, uncorrected, the calculation gives -3.09 eV/atom. The space-group type is No. 11. The value obtained for the volume is 12.7 Å³/atom.

***

Record 2
Entry from Alexandria via LeMat-Bulk: an optimized crystal structure of Tb3Sm2Ga4 (GGA-PBE).

Cell and atoms, written as CIF:
```
data_Tb3Sm2Ga4
_space_group_name_H-M_alt 'P 1'
_space_group_IT_number 1
_cell_length_a 7.498
_cell_length_b 8.018
_cell_length_c 8.044
_cell_angle_alpha 90.00
_cell_angle_beta 90.00
_cell_angle_gamma 106.27
loop_
_space_group_symop_operation_xyz
'x,y,z'
loop_
_atom_site_label
_atom_site_type_symbol
_atom_site_fract_x
_atom_site_fract_y
_atom_site_fract_z
Ga1 Ga 0.134 0.919 0.471
Ga2 Ga 0.880 0.491 0.123
Ga3 Ga 0.620 0.509 0.623
Ga4 Ga 0.866 0.081 0.529
Ga5 Ga 0.366 0.081 0.971
Ga6 Ga 0.380 0.491 0.377
Ga7 Ga 0.120 0.509 0.877
Ga8 Ga 0.634 0.919 0.029
Sm1 Sm 0.927 0.811 0.816
Sm2 Sm 0.427 0.811 0.684
Sm3 Sm 0.573 0.189 0.316
Sm4 Sm 0.073 0.189 0.184
Tb1 Tb 0.500 0.500 0.000
Tb2 Tb 0.752 0.238 0.826
Tb3 Tb 0.248 0.762 0.174
Tb4 Tb 0.748 0.762 0.326
Tb5 Tb 0.252 0.238 0.674
Tb6 Tb 0.000 0.500 0.500
```

Values from the calculation:
The space-group type is No. 14. The value obtained for the volume is 25.8 Å³/atom. The energy of formation comes out at -13.1 kcal/mol of atoms.

***

Record 3
Entry from Alexandria via LeMat-Bulk: an optimized crystal structure of BeBi2AsO (GGA-PBE).

Cell and atoms, written as CIF:
```
data_BeBi2AsO
_space_group_name_H-M_alt 'P 1'
_space_group_IT_number 1
_cell_length_a 5.156
_cell_length_b 4.074
_cell_length_c 5.156
_cell_angle_alpha 90.00
_cell_angle_beta 90.00
_cell_angle_gamma 90.00
loop_
_space_group_symop_operation_xyz
'x,y,z'
loop_
_atom_site_label
_atom_site_type_symbol
_atom_site_fract_x
_atom_site_fract_y
_atom_site_fract_z
Be1 Be 0.000 0.000 0.000
O1 O 0.500 0.500 0.500
Bi1 Bi 0.500 0.000 0.000
Bi2 Bi 0.000 0.000 0.500
As1 As 0.000 0.500 0.000
```

Values from the calculation:
For the energy relative to the elements, uncorrected, the calculation gives 0.57 eV/atom. The space-group type is No. 123. The value obtained for the volume is 21.7 Å³/atom.

***

Record 4
Entry from Alexandria via LeMat-Bulk: an optimized crystal structure of Pm3MnBi (GGA-PBE).

Cell and atoms, written as CIF:
```
data_Pm3MnBi
_space_group_name_H-M_alt 'P 1'
_space_group_IT_number 1
_cell_length_a 5.245
_cell_length_b 5.245
_cell_length_c 5.245
_cell_angle_alpha 90.00
_cell_angle_beta 90.00
_cell_angle_gamma 90.00
loop_
_space_group_symop_operation_xyz
'x,y,z'
loop_
_atom_site_label
_atom_site_type_symbol
_atom_site_fract_x
_atom_site_fract_y
_atom_site_fract_z
Pm1 Pm 0.000 0.500 0.000
Pm2 Pm 0.500 0.000 0.000
Pm3 Pm 0.000 0.000 0.500
Bi1 Bi 0.500 0.500 0.500
Mn1 Mn 0.000 0.000 0.000
```

Values from the calculation:
The space-group type is No. 221. The value obtained for the volume is 28.9 Å³/atom. The energy of formation comes out at -2.4 kcal/mol of atoms.

***

Record 5
Entry from Alexandria via LeMat-Bulk: an optimized crystal structure of CrHgSe2N (GGA-PBE).

Cell and atoms, written as CIF:
```
data_CrHgSe2N
_space_group_name_H-M_alt 'P 1'
_space_group_IT_number 1
_cell_length_a 5.324
_cell_length_b 5.324
_cell_length_c 4.053
_cell_angle_alpha 90.00
_cell_angle_beta 90.00
_cell_angle_gamma 90.00
loop_
_space_group_symop_operation_xyz
'x,y,z'
loop_
_atom_site_label
_atom_site_type_symbol
_atom_site_fract_x
_atom_site_fract_y
_atom_site_fract_z
N1 N 0.000 0.000 0.500
Cr1 Cr 0.500 0.500 0.500
Se1 Se 0.500 0.000 0.000
Se2 Se 0.000 0.500 0.000
Hg1 Hg 0.000 0.000 0.000
```

Values from the calculation:
For the energy relative to the elements, uncorrected, the calculation gives 1.78 eV/atom. The space-group type is No. 123. The value obtained for the volume is 23.0 Å³/atom.

***

Record 6
Entry from Alexandria via LeMat-Bulk: an optimized crystal structure of SbSeS5 (GGA-PBE).

Cell and atoms, written as CIF:
```
data_SbSeS5
_space_group_name_H-M_alt 'P 1'
_space_group_IT_number 1
_cell_length_a 11.000
_cell_length_b 10.781
_cell_length_c 8.680
_cell_angle_alpha 47.19
_cell_angle_beta 93.04
_cell_angle_gamma 119.78
loop_
_space_group_symop_operation_xyz
'x,y,z'
loop_
_atom_site_label
_atom_site_type_symbol
_atom_site_fract_x
_atom_site_fract_y
_atom_site_fract_z
Se1 Se 0.940 0.847 0.208
Se2 Se 0.978 0.185 0.243
Sb1 Sb 0.555 0.623 0.209
Sb2 Sb 0.174 0.860 0.853
S1 S 0.094 0.167 0.063
S2 S 0.479 0.919 0.170
S3 S 0.239 0.716 0.321
S4 S 0.553 0.328 0.563
S5 S 0.447 0.104 0.565
S6 S 0.545 0.730 0.384
S7 S 0.165 0.569 0.226
S8 S 0.091 0.691 0.726
S9 S 0.898 0.372 0.011
S10 S 0.843 0.889 0.957
```

Values from the calculation:
For the energy relative to the elements, uncorrected, the calculation gives -0.01 eV/atom. The space-group type is No. 1. The value obtained for the volume is 41.9 Å³/atom.

***

Record 7
Entry from Alexandria via LeMat-Bulk: an optimized crystal structure of Tm2MnCu (GGA-PBE).

Cell and atoms, written as CIF:
```
data_Tm2MnCu
_space_group_name_H-M_alt 'P 1'
_space_group_IT_number 1
_cell_length_a 3.392
_cell_length_b 3.392
_cell_length_c 7.055
_cell_angle_alpha 90.00
_cell_angle_beta 90.00
_cell_angle_gamma 90.00
loop_
_space_group_symop_operation_xyz
'x,y,z'
loop_
_atom_site_label
_atom_site_type_symbol
_atom_site_fract_x
_atom_site_fract_y
_atom_site_fract_z
Cu1 Cu 0.500 0.500 0.000
Tm1 Tm 0.000 0.000 0.248
Tm2 Tm 0.000 0.000 0.752
Mn1 Mn 0.500 0.500 0.500
```

Values from the calculation:
The space-group type is No. 123. The value obtained for the volume is 20.3 Å³/atom. The energy of formation comes out at -1.5 kcal/mol of atoms.

***

Record 8
Entry from Alexandria via LeMat-Bulk: an optimized crystal structure of EuThZnRh (GGA-PBE).

Cell and atoms, written as CIF:
```
data_EuThZnRh
_space_group_name_H-M_alt 'P 1'
_space_group_IT_number 1
_cell_length_a 5.100
_cell_length_b 5.100
_cell_length_c 5.100
_cell_angle_alpha 60.00
_cell_angle_beta 60.00
_cell_angle_gamma 60.00
loop_
_space_group_symop_operation_xyz
'x,y,z'
loop_
_atom_site_label
_atom_site_type_symbol
_atom_site_fract_x
_atom_site_fract_y
_atom_site_fract_z
Eu1 Eu 0.250 0.250 0.250
Rh1 Rh 0.000 0.000 0.000
Zn1 Zn 0.500 0.500 0.500
Th1 Th 0.750 0.750 0.750
```

Values from the calculation:
The space-group type is No. 216. The value obtained for the volume is 23.4 Å³/atom. The energy of formation comes out at -8.8 kcal/mol of atoms.